A plane-wave DFT calculation with GGA-PBEsol was carried out for a relaxed structure of HgBO2F.

Structure (extended XYZ):
```
5
Lattice="3.2008 0.0000 0.0000 0.0000 3.2008 0.0000 0.0000 0.0000 5.0487" Properties=species:S:1:pos:R:3 pbc="T T T"
Hg 0.0000 0.0000 0.0000
B 1.6004 1.6004 2.5244
O 0.0000 1.6004 2.5244
O 1.6004 0.0000 2.5244
F 1.6004 1.6004 0.0000
```

Output
Formation energy (no corrections) (eV/atom): -0.67
DOS at the Fermi energy (states/eV/cell): 0.9
Magnetic moment (Bohr magnetons per cell): 0.00